# Ac2Tl5Hg | Alexandria | PBE | optimized geometry
# DFT total energy = -2.852 eV/atom
# Fermi-level density of states = 0.58 states/eV per atom
data_Ac2Tl5Hg
_cell_length_a 7.0327
_cell_length_b 14.0730
_cell_length_c 5.0302
_cell_angle_alpha 90.00
_cell_angle_beta 90.00
_cell_angle_gamma 90.00
_symmetry_space_group_name_H-M 'P b a m'
_symmetry_Int_Tables_number 55
loop_
_symmetry_equiv_pos_as_xyz
'x,y,z'
'-x,-y,-z'
'-x,-y,z'
'x,y,-z'
'x+1/2,-y+1/2,-z'
'-x+1/2,y+1/2,z'
'-x+1/2,y+1/2,-z'
'x+1/2,-y+1/2,z'
loop_
_atom_site_label
_atom_site_fract_x
_atom_site_fract_y
_atom_site_fract_z
Ac1 0.2448 0.1243 0.0000
Tl1 0.0000 0.5000 0.5000
Tl2 0.0017 0.7503 0.5000
Tl3 0.2477 0.3757 0.0000
Hg1 0.0000 0.0000 0.5000



# Sc3Bi2Se | Alexandria | PBE | optimized geometry
# DFT total energy = -5.990 eV/atom
# Formation energy without anion corrections = -0.950 eV per atom
# Fermi-level density of states = 0.41 states/eV per atom
data_Sc3Bi2Se
_cell_length_a 7.1597
_cell_length_b 12.3552
_cell_length_c 7.1898
_cell_angle_alpha 90.00
_cell_angle_beta 109.33
_cell_angle_gamma 90.00
_symmetry_space_group_name_H-M 'C 1 2/m 1'
_symmetry_Int_Tables_number 12
loop_
_symmetry_equiv_pos_as_xyz
'x,y,z'
'-x,-y,-z'
'-x,y,-z'
'x,-y,z'
'x+1/2,y+1/2,z'
'-x+1/2,-y+1/2,-z'
'-x+1/2,y+1/2,-z'
'x+1/2,-y+1/2,z'
loop_
_atom_site_label
_atom_site_fract_x
_atom_site_fract_y
_atom_site_fract_z
Sc1 0.2238 0.0000 0.2249
Sc2 0.2460 0.1747 0.7614
Bi1 0.0000 0.0000 0.5000
Bi2 0.0000 0.3419 0.5000
Bi3 0.0000 0.5000 0.0000
Se1 0.0000 0.1687 0.0000



# Hg2IrPb | Alexandria | PBE | optimized geometry
# DFT total energy = -2.950 eV/atom
# Fermi-level density of states = 0.48 states/eV per atom
data_Hg2IrPb
_cell_length_a 4.0829
_cell_length_b 4.0276
_cell_length_c 5.7811
_cell_angle_alpha 90.00
_cell_angle_beta 104.83
_cell_angle_gamma 90.00
_symmetry_space_group_name_H-M 'P 1 m 1'
_symmetry_Int_Tables_number 6
loop_
_symmetry_equiv_pos_as_xyz
'x,y,z'
'x,-y,z'
loop_
_atom_site_label
_atom_site_fract_x
_atom_site_fract_y
_atom_site_fract_z
Hg1 0.0000 0.0000 0.0000
Hg2 0.4202 0.5000 0.8366
Ir1 0.1667 0.0000 0.5026
Pb1 0.6628 0.5000 0.3773



# NaFeGeMo2 | Alexandria | PBE | optimized geometry
# DFT total energy = -4.559 eV/atom
# Fermi-level density of states = 1.69 states/eV per atom
data_NaFeGeMo2
_cell_length_a 4.5585
_cell_length_b 4.5585
_cell_length_c 4.4670
_cell_angle_alpha 90.00
_cell_angle_beta 90.00
_cell_angle_gamma 90.00
_symmetry_space_group_name_H-M 'P 4/m m m'
_symmetry_Int_Tables_number 123
_symmetry_space_group_name_Hall '-P 4 2'
loop_
_atom_site_label
_atom_site_fract_x
_atom_site_fract_y
_atom_site_fract_z
Na1 0.0000 0.0000 0.0000
Fe1 0.5000 0.5000 0.5000
Ge1 0.0000 0.0000 0.5000
Mo1 0.0000 0.5000 0.0000



# LaSF | Alexandria | PBE | optimized geometry
# DFT total energy = -6.586 eV/atom
# Formation energy without anion corrections = -2.944 eV per atom
# Fermi-level density of states = 0.00 states/eV per atom
data_LaSF
_cell_length_a 6.4714
_cell_length_b 6.4714
_cell_length_c 6.4714
_cell_angle_alpha 90.00
_cell_angle_beta 90.00
_cell_angle_gamma 90.00
_symmetry_space_group_name_H-M 'F -4 3 m'
_symmetry_Int_Tables_number 216
_symmetry_space_group_name_Hall 'F -4 2 3'
loop_
_atom_site_label
_atom_site_fract_x
_atom_site_fract_y
_atom_site_fract_z
La1 0.0000 0.0000 0.0000
S1 0.2500 0.2500 0.7500
F1 0.2500 0.2500 0.2500



# Tl2CuSeF6 | Alexandria | PBE | optimized geometry
# DFT total energy = -3.922 eV/atom
# Formation energy without anion corrections = -1.568 eV per atom
# Fermi-level density of states = 0.14 states/eV per atom
data_Tl2CuSeF6
_cell_length_a 5.5295
_cell_length_b 5.9018
_cell_length_c 6.4323
_cell_angle_alpha 114.16
_cell_angle_beta 105.34
_cell_angle_gamma 96.55
_symmetry_space_group_name_H-M 'P -1'
_symmetry_Int_Tables_number 2
loop_
_symmetry_equiv_pos_as_xyz
'x,y,z'
'-x,-y,-z'
loop_
_atom_site_label
_atom_site_fract_x
_atom_site_fract_y
_atom_site_fract_z
Tl1 0.2502 0.2264 0.4697
Cu1 0.0000 0.5000 0.0000
Se1 0.5000 0.0000 0.0000
F1 0.2127 0.6786 0.8663
F2 0.2336 0.7014 0.3197
F3 0.2390 0.1653 0.8800



# NaPmSiAg | Alexandria | PBE | optimized geometry
# DFT total energy = -3.777 eV/atom
# Formation energy without anion corrections = -0.191 eV per atom
# Fermi-level density of states = 0.39 states/eV per atom
data_NaPmSiAg
_cell_length_a 7.1403
_cell_length_b 7.1403
_cell_length_c 7.1403
_cell_angle_alpha 90.00
_cell_angle_beta 90.00
_cell_angle_gamma 90.00
_symmetry_space_group_name_H-M 'F -4 3 m'
_symmetry_Int_Tables_number 216
_symmetry_space_group_name_Hall 'F -4 2 3'
loop_
_atom_site_label
_atom_site_fract_x
_atom_site_fract_y
_atom_site_fract_z
Na1 0.0000 0.0000 0.0000
Pm1 0.0000 0.0000 0.5000
Si1 0.2500 0.2500 0.7500
Ag1 0.2500 0.2500 0.2500



# SrMnRh2 | Alexandria | PBE | optimized geometry
# DFT total energy = -6.260 eV/atom
# Fermi-level density of states = 0.40 states/eV per atom
data_SrMnRh2
_cell_length_a 6.6314
_cell_length_b 6.6314
_cell_length_c 6.6314
_cell_angle_alpha 90.00
_cell_angle_beta 90.00
_cell_angle_gamma 90.00
_symmetry_space_group_name_H-M 'F m -3 m'
_symmetry_Int_Tables_number 225
_symmetry_space_group_name_Hall '-F 4 2 3'
loop_
_atom_site_label
_atom_site_fract_x
_atom_site_fract_y
_atom_site_fract_z
Sr1 0.0000 0.0000 0.0000
Mn1 0.0000 0.0000 0.5000
Rh1 0.2500 0.2500 0.2500



# MnCdIr2 | Alexandria | PBE | optimized geometry
# DFT total energy = -6.974 eV/atom
# Fermi-level density of states = 0.60 states/eV per atom
data_MnCdIr2
_cell_length_a 2.8519
_cell_length_b 2.8519
_cell_length_c 7.5277
_cell_angle_alpha 90.00
_cell_angle_beta 90.00
_cell_angle_gamma 90.00
_symmetry_space_group_name_H-M 'P 4/m m m'
_symmetry_Int_Tables_number 123
_symmetry_space_group_name_Hall '-P 4 2'
loop_
_atom_site_label
_atom_site_fract_x
_atom_site_fract_y
_atom_site_fract_z
Mn1 0.0000 0.0000 0.0000
Cd1 0.0000 0.0000 0.5000
Ir1 0.5000 0.5000 0.2131



# AlBrO | Alexandria | PBE | optimized geometry
# DFT total energy = -5.619 eV/atom
# Formation energy without anion corrections = -2.161 eV per atom
# Fermi-level density of states = 0.00 states/eV per atom
data_AlBrO
_cell_length_a 5.6626
_cell_length_b 9.3845
_cell_length_c 5.0395
_cell_angle_alpha 90.00
_cell_angle_beta 90.00
_cell_angle_gamma 90.00
_symmetry_space_group_name_H-M 'P c a 21'
_symmetry_Int_Tables_number 29
loop_
_symmetry_equiv_pos_as_xyz
'x,y,z'
'-x,-y,z+1/2'
'-x+1/2,y,z+1/2'
'x+1/2,-y,z'
loop_
_atom_site_label
_atom_site_fract_x
_atom_site_fract_y
_atom_site_fract_z
Al1 0.0924 0.0834 0.0000
Br1 0.0013 0.6889 0.5869
O1 0.1296 0.0307 0.6563



# SrLi4Cd4 | Alexandria | PBE | optimized geometry
# DFT total energy = -1.586 eV/atom
# Fermi-level density of states = 0.50 states/eV per atom
data_SrLi4Cd4
_cell_length_a 9.3249
_cell_length_b 9.3249
_cell_length_c 5.0470
_cell_angle_alpha 90.00
_cell_angle_beta 90.00
_cell_angle_gamma 90.00
_symmetry_space_group_name_H-M 'I 4/m'
_symmetry_Int_Tables_number 87
_symmetry_space_group_name_Hall '-I 4'
loop_
_atom_site_label
_atom_site_fract_x
_atom_site_fract_y
_atom_site_fract_z
Sr1 0.0000 0.0000 0.0000
Li1 0.1491 0.2588 0.5000
Cd1 0.0849 0.3678 0.0000



# Y5Rh2O12 | Alexandria | PBE | optimized geometry
# DFT total energy = -8.193 eV/atom
# Formation energy without anion corrections = -2.586 eV per atom
# Fermi-level density of states = 0.33 states/eV per atom
data_Y5Rh2O12
_cell_length_a 12.3854
_cell_length_b 5.9438
_cell_length_c 7.2999
_cell_angle_alpha 90.00
_cell_angle_beta 107.24
_cell_angle_gamma 90.00
_symmetry_space_group_name_H-M 'C 1 2/m 1'
_symmetry_Int_Tables_number 12
loop_
_symmetry_equiv_pos_as_xyz
'x,y,z'
'-x,-y,-z'
'-x,y,-z'
'x,-y,z'
'x+1/2,y+1/2,z'
'-x+1/2,-y+1/2,-z'
'-x+1/2,y+1/2,-z'
'x+1/2,-y+1/2,z'
loop_
_atom_site_label
_atom_site_fract_x
_atom_site_fract_y
_atom_site_fract_z
Y1 0.0000 0.0000 0.0000
Y2 0.1908 0.5000 0.3293
Y3 0.1977 0.5000 0.8603
Rh1 0.0000 0.2465 0.5000
O1 0.9998 0.0000 0.3178
O2 0.9997 0.5000 0.3108
O3 0.1523 0.2493 0.0737
O4 0.1660 0.2647 0.5843



Question: Among the records above, which one has the highest DFT total energy?
Answer: SrLi4Cd4